Computed, not measured: a relaxed structure of YCuRh3 at the PBE level of DFT.

a b c (Å): 4.881 4.881 4.881
angles (deg): 90.00 90.00 90.00
Space group Pm-3m (No. 221)
One atom of each set of equivalent atoms:
Y  0.000  0.000  0.000 x1
Cu  0.500  0.500  0.500 x1
Rh  0.000  0.000  0.500 x3

Total DFT energy (no corrections): -25.58 eV for the cell shown
Calculated formation energy: 1.406 eV/atom
Density: 6.59 Mg/m³
Total magnetic moment: 0.00 μB/cell